1.
! LiCaPmLu, optimized geometry, DFT PBE-GGA; values from VASP
&SYSTEM
  ibrav = 0, nat = 16, ntyp = 4
/
ATOMIC_SPECIES
Li 6.94 Li.upf
Ca 40.08 Ca.upf
Pm 145.00 Pm.upf
Lu 174.97 Lu.upf
CELL_PARAMETERS angstrom
7.943 0.000 0.000
0.000 7.943 0.000
0.000 0.000 7.943
ATOMIC_POSITIONS crystal
Li 0.000 0.000 0.000
Li 0.000 0.500 0.500
Li 0.500 0.000 0.500
Li 0.500 0.500 0.000
Ca 0.250 0.250 0.250
Ca 0.250 0.750 0.750
Ca 0.750 0.250 0.750
Ca 0.750 0.750 0.250
Pm 0.250 0.250 0.750
Pm 0.250 0.750 0.250
Pm 0.750 0.250 0.250
Pm 0.750 0.750 0.750
Lu 0.000 0.000 0.500
Lu 0.000 0.500 0.000
Lu 0.500 0.000 0.000
Lu 0.500 0.500 0.500
! Symmetry: F-43m (216)
! Calculated formation energy (eV/atom): 0.207

=====

2.
! SrRe2Pt, optimized geometry, DFT PBE-GGA; values from VASP
&SYSTEM
  ibrav = 0, nat = 8, ntyp = 3
/
ATOMIC_SPECIES
Sr 87.62 Sr.upf
Re 186.21 Re.upf
Pt 195.08 Pt.upf
CELL_PARAMETERS angstrom
4.685 0.000 0.000
0.000 4.685 0.000
0.000 0.000 6.579
ATOMIC_POSITIONS crystal
Sr 0.000 0.000 0.000
Sr 0.500 0.500 0.500
Re 0.000 0.000 0.500
Re 0.000 0.500 0.750
Re 0.500 0.000 0.250
Re 0.500 0.500 0.000
Pt 0.000 0.500 0.250
Pt 0.500 0.000 0.750
! Symmetry: I-4m2 (119)
! Calculated formation energy (eV/atom): 0.777
! Relative energy among the computed polymorphs (eV per atom): 0.5342

=====

3.
! KLiIn2Cl4, optimized geometry, DFT PBE-GGA; values from VASP
&SYSTEM
  ibrav = 0, nat = 16, ntyp = 4
/
ATOMIC_SPECIES
K 39.10 K.upf
Li 6.94 Li.upf
In 114.82 In.upf
Cl 35.45 Cl.upf
CELL_PARAMETERS angstrom
6.195 -6.157 0.000
6.195 6.157 0.000
-6.114 0.000 6.200
ATOMIC_POSITIONS crystal
K 0.000 0.000 0.000
K 0.000 0.000 0.500
Li 0.000 0.500 0.000
Li 0.500 0.000 0.500
In 0.000 0.500 0.500
In 0.500 0.000 0.000
In 0.500 0.500 0.000
In 0.500 0.500 0.500
Cl 0.199 0.291 0.995
Cl 0.247 0.751 0.012
Cl 0.249 0.753 0.488
Cl 0.291 0.199 0.495
Cl 0.709 0.801 0.505
Cl 0.751 0.247 0.512
Cl 0.753 0.249 0.988
Cl 0.801 0.709 0.005
! Symmetry: C2/c (15)
! Formation energy (no corrections) (meV per atom): -1276.3

=====

4.
! HoPuNiPt, optimized geometry, DFT PBE-GGA; values from VASP
&SYSTEM
  ibrav = 0, nat = 16, ntyp = 4
/
ATOMIC_SPECIES
Ho 164.93 Ho.upf
Pu 244.00 Pu.upf
Ni 58.69 Ni.upf
Pt 195.08 Pt.upf
CELL_PARAMETERS angstrom
6.890 0.000 0.000
0.000 6.890 0.000
0.000 0.000 6.890
ATOMIC_POSITIONS crystal
Ho 0.000 0.000 0.000
Ho 0.000 0.500 0.500
Ho 0.500 0.000 0.500
Ho 0.500 0.500 0.000
Pu 0.000 0.000 0.500
Pu 0.000 0.500 0.000
Pu 0.500 0.000 0.000
Pu 0.500 0.500 0.500
Ni 0.250 0.250 0.750
Ni 0.250 0.750 0.250
Ni 0.750 0.250 0.250
Ni 0.750 0.750 0.750
Pt 0.250 0.250 0.250
Pt 0.250 0.750 0.750
Pt 0.750 0.250 0.750
Pt 0.750 0.750 0.250
! Symmetry: F-43m (216)
! Calculated formation energy (eV/atom): -0.564

=====

Number 1: ρ 4.86 g cm⁻³, DFT total energy -3.089 eV/atom. Number 2: ρ 15.07 g cm⁻³, DFT total energy -7.377 eV/atom. Number 3: ρ 2.93 g cm⁻³, DFT total energy -3.261 eV/atom. Number 4: ρ 13.46 g cm⁻³, DFT total energy -8.247 eV/atom.